First-principles (PBE) data for crystalline LiB2Rh3 at its relaxed geometry, as listed in Alexandria.

crystal system: orthorhombic
space-group type: Amm2, No. 38
calculated volume: 12.645 Å³/atom
ΔH_f (0 K): -2.290 eV per formula unit
E: -39.61 eV/f.u.

a = 2.840 Å, b = 5.554 Å, c = 5.554 Å
α = 119.98°, β = 90.00°, γ = 90.00°
Fractional positions:
Li (0.000, 0.000, 0.000)
B (0.000, 0.331, 0.665)
B (0.000, 0.665, 0.331)
Rh (0.500, 0.475, 0.998)
Rh (0.500, 0.523, 0.523)
Rh (0.500, 0.998, 0.475)



First-principles (PBE) data for crystalline Li3BRh at its relaxed geometry, as listed in Alexandria.

crystal system: cubic
space-group type: Pm-3m, No. 221
calculated volume: 13.102 Å³/atom
relative energy among the computed polymorphs: 0.000 eV/atom
ΔH_f (0 K): 3.430 eV per formula unit
E: -16.34 eV/f.u.

a = 4.031 Å, b = 4.031 Å, c = 4.031 Å
α = 90.00°, β = 90.00°, γ = 90.00°
Fractional positions:
Li (0.000, 0.000, 0.500)
Li (0.000, 0.500, 0.000)
Li (0.500, 0.000, 0.000)
B (0.000, 0.000, 0.000)
Rh (0.500, 0.500, 0.500)



First-principles (PBE) data for crystalline LiBRh at its relaxed geometry, as listed in Alexandria.

crystal system: tetragonal
space-group type: I4mm, No. 107
calculated volume: 12.772 Å³/atom
ΔH_f (0 K): -0.581 eV per formula unit
E: -16.52 eV/f.u.

a = 5.050 Å, b = 5.050 Å, c = 5.050 Å
α = 146.87°, β = 146.87°, γ = 47.56°
Fractional positions:
Li (0.000, 0.000, 0.000)
B (0.729, 0.729, 0.000)
Rh (0.283, 0.283, 0.000)



First-principles (PBE) data for crystalline Li2BRh4 at its relaxed geometry, as listed in Alexandria.

crystal system: tetragonal
space-group type: I4/mmm, No. 139
calculated volume: 14.300 Å³/atom
ΔH_f (0 K): 0.485 eV per formula unit
E: -39.43 eV/f.u.

a = 6.776 Å, b = 6.776 Å, c = 6.776 Å
α = 145.35°, β = 145.35°, γ = 49.82°
Fractional positions:
Li (0.134, 0.134, 0.000)
Li (0.866, 0.866, 0.000)
B (0.500, 0.500, 0.000)
Rh (0.000, 0.500, 0.500)
Rh (0.336, 0.336, 0.000)
Rh (0.500, 0.000, 0.500)
Rh (0.664, 0.664, 0.000)



First-principles (PBE) data for crystalline LiB2Rh at its relaxed geometry, as listed in Alexandria.

crystal system: tetragonal
space-group type: I4_1/amd, No. 141
calculated volume: 11.413 Å³/atom
relative energy among the computed polymorphs: 0.283 eV/atom
ΔH_f (0 K): 0.566 eV per formula unit
E: -22.05 eV/f.u.

a = 8.195 Å, b = 8.195 Å, c = 8.195 Å
α = 155.95°, β = 155.95°, γ = 34.27°
Fractional positions:
Li (0.375, 0.625, 0.750)
Li (0.625, 0.375, 0.250)
B (0.000, 0.000, 0.000)
B (0.000, 0.000, 0.500)
B (0.000, 0.500, 0.000)
B (0.500, 0.000, 0.500)
Rh (0.125, 0.875, 0.250)
Rh (0.875, 0.125, 0.750)



First-principles (PBE) data for crystalline LiB2Rh at its relaxed geometry, as listed in Alexandria.

crystal system: trigonal
space-group type: R-3m, No. 166
calculated volume: 12.188 Å³/atom
relative energy among the computed polymorphs: 0.262 eV/atom
ΔH_f (0 K): 0.485 eV per formula unit
E: -22.13 eV/f.u.

a = 4.795 Å, b = 4.795 Å, c = 4.795 Å
α = 44.23°, β = 44.23°, γ = 44.23°
Fractional positions:
Li (0.000, 0.000, 0.000)
B (0.183, 0.183, 0.183)
B (0.817, 0.817, 0.817)
Rh (0.500, 0.500, 0.500)



First-principles (PBE) data for crystalline LiB2Rh at its relaxed geometry, as listed in Alexandria.

crystal system: cubic
space-group type: Fm-3m, No. 225
calculated volume: 8.918 Å³/atom
relative energy among the computed polymorphs: 0.333 eV/atom
ΔH_f (0 K): 0.766 eV per formula unit
E: -21.85 eV/f.u.

a = 3.695 Å, b = 3.695 Å, c = 3.695 Å
α = 60.00°, β = 60.00°, γ = 60.00°
Fractional positions:
Li (0.000, 0.000, 0.000)
B (0.250, 0.250, 0.250)
B (0.750, 0.750, 0.750)
Rh (0.500, 0.500, 0.500)



First-principles (PBE) data for crystalline LiBRh at its relaxed geometry, as listed in Alexandria.

crystal system: hexagonal
space-group type: P-6m2, No. 187
calculated volume: 11.334 Å³/atom
ΔH_f (0 K): -0.526 eV per formula unit
E: -16.47 eV/f.u.

a = 3.567 Å, b = 3.567 Å, c = 3.086 Å
α = 90.00°, β = 90.00°, γ = 120.00°
Fractional positions:
Li (0.000, 0.000, 0.000)
B (0.667, 0.333, 0.500)
Rh (0.333, 0.667, 0.500)